## MgInAgSn (PBE)

Data for crystalline MgInAgSn at its relaxed geometry.

Cell lengths 5.0658, 5.0658, 5.0658 Å; angles 60.00, 60.00, 60.00 degrees
With the nearest neighbours (Å) after each atom.
Atoms (fractional coordinates):
Mg  0.0000  0.0000  0.0000  4 Sn 3.10, 4 In 3.10
Sn  0.2500  0.2500  0.2500  4 Ag 3.10, 4 Mg 3.10
Ag  0.5000  0.5000  0.5000  4 In 3.10, 4 Sn 3.10
In  0.7500  0.7500  0.7500  4 Ag 3.10, 4 Mg 3.10

Summary:
- DOS at the Fermi energy: 2.011 states/eV/cell
- Excess energy over the best structure of this formula in the dataset: 0.0438 eV/atom



## BeRhNO2 (PBE)

Data for crystalline BeRhNO2 at its relaxed geometry.

Cell lengths 3.4342, 3.4342, 3.5398 Å; angles 90.00, 90.00, 90.00 degrees
With the nearest neighbours (Å) after each atom.
Atoms (fractional coordinates):
Be  0.0000  0.0000  0.0000  4 O 1.72, 2 N 1.77
Rh  0.5000  0.5000  0.5000  4 N 2.43, 8 O 2.47
O  0.0000  0.5000  0.0000  2 Be 1.72
O  0.5000  0.0000  0.0000  2 Be 1.72
N  0.0000  0.0000  0.5000  2 Be 1.77

Summary:
- DOS at the Fermi energy: 3.181 states/eV/cell
- Energy relative to the elements, uncorrected: 17 kJ per mole of atoms



| no. | theoretical density (g/cm3) | calculated total energy (eV/atom) |
| --- | --- | --- |
| 1 | 6.61 | -2.792 |
| 2 | 6.28 | -5.685 |